VASP calculation (GGA+U) on a relaxed structure of KTbMo2O8.

extended XYZ file:
```
24
Lattice="7.508 0.024 0.023 0.272 7.503 0.023 3.716 3.595 5.922" Properties=species:S:1:pos:R:3 pbc="T T T"
K 4.474 8.737 4.465
K 7.023 2.385 1.504
Tb 8.640 4.431 4.465
Tb 2.857 6.691 1.504
Mo 8.204 7.986 4.531
Mo 3.292 3.136 1.437
Mo 5.102 4.984 4.398
Mo 6.395 6.138 1.570
O 6.862 7.858 3.373
O 4.635 3.264 2.595
O 5.273 6.322 5.556
O 6.223 4.801 0.412
O 6.159 3.704 5.217
O 5.338 7.418 0.751
O 9.448 6.887 3.712
O 2.048 4.235 2.256
O 8.084 6.255 5.751
O 3.412 4.867 0.217
O 6.835 5.047 3.178
O 4.661 6.075 2.790
O 8.802 9.647 4.157
O 2.694 1.475 1.811
O 3.421 4.442 4.772
O 8.075 6.681 1.196
```

Summary:
DFT total energy	-171.06	eV/cell
density	5.2	g/cm3